4
Lattice="0.000 4.058 4.058 4.058 0.000 4.058 4.058 4.058 0.000" Properties=species:S:1:pos:R:3 comment="Sr2CaAu (PBE, optimized geometry)" delta_e_f_ev_per_atom=-0.095 m_tot_mub_per_fu=0.00 pbc="T T T"
Sr 0.000 0.000 0.000
Sr 2.029 2.029 2.029
Ca 6.087 6.087 6.087
Au 4.058 4.058 4.058

4
Lattice="4.804 -1.700 0.000 4.804 1.700 0.000 -0.938 0.000 5.433" Properties=species:S:1:pos:R:3 comment="ZrHgAs2 (PBE, optimized geometry)" delta_e_f_ev_per_atom=-0.247 m_tot_mub_per_fu=0.00 pbc="T T T"
Zr 0.000 0.000 0.000
Hg 4.335 0.000 2.717
As 1.798 0.000 4.506
As 6.873 0.000 0.927

4
Lattice="4.719 0.000 0.000 0.000 4.719 0.000 0.000 0.000 2.766" Properties=species:S:1:pos:R:3 comment="ReAsIr2 (PBE, optimized geometry)" delta_e_f_ev_per_atom=0.375 m_tot_mub_per_fu=0.00 pbc="T T T"
Re 0.000 0.000 0.000
As 2.360 2.360 0.000
Ir 0.000 2.360 1.383
Ir 2.360 0.000 1.383

7
Lattice="5.353 -2.128 0.000 5.353 2.128 0.000 -2.827 0.000 6.820" Properties=species:S:1:pos:R:3 comment="Dy3Ga2Ge2 (PBE, optimized geometry)" delta_e_f_ev_per_atom=-0.733 m_tot_mub_per_fu=0.00 pbc="T T T"
Dy 0.000 0.000 0.000
Dy 0.094 0.000 4.285
Dy 7.785 0.000 2.535
Ga 3.102 0.000 0.489
Ga 4.777 0.000 6.332
Ge 3.054 0.000 4.514
Ge 4.825 0.000 2.306

11
Lattice="7.570 0.000 0.000 -3.785 6.556 0.000 0.000 0.000 4.275" Properties=species:S:1:pos:R:3 comment="SrAl6Ag4 (PBE, optimized geometry)" delta_e_f_ev_per_atom=-0.157 m_tot_mub_per_fu=0.00 pbc="T T T"
Sr 0.000 0.000 0.000
Al 0.000 2.691 2.138
Al -1.455 5.211 2.138
Al 3.785 0.469 0.000
Al 2.299 3.043 0.000
Al 1.455 5.211 2.138
Al 5.271 3.043 0.000
Ag 0.000 4.371 0.000
Ag 2.289 1.322 2.138
Ag 5.281 1.322 2.138
Ag 3.785 3.913 2.138

12
Lattice="-3.220 3.220 5.961 3.220 -3.220 5.961 3.220 3.220 -5.961" Properties=species:S:1:pos:R:3 comment="MgTiAu4 (PBE, optimized geometry)" delta_e_f_ev_per_atom=-0.186 m_tot_mub_per_fu=0.00 pbc="T T T"
Mg 3.220 1.610 1.490
Mg 0.000 1.610 4.470
Ti 3.220 -1.610 4.470
Ti 0.000 4.830 1.490
Au 1.554 0.000 0.000
Au 4.887 0.000 0.000
Au 1.610 3.164 -2.980
Au 1.610 -0.056 2.980
Au 1.554 3.220 0.000
Au 1.666 0.000 5.961
Au -1.610 3.277 2.980
Au 1.610 3.277 2.980

12
Lattice="8.101 0.000 0.000 0.000 4.110 0.000 -2.344 0.000 10.190" Properties=species:S:1:pos:R:3 comment="CePrDySe3 (PBE, optimized geometry)" m_tot_mub_per_fu=1.99 energy_ev_per_atom=-5.8909 pbc="T T T"
Ce 1.152 1.027 1.197
Ce 4.605 3.082 8.993
Pr -0.168 1.027 7.175
Pr 5.925 3.082 3.015
Dy 1.780 3.082 4.107
Dy 3.977 1.027 6.083
Se -0.159 1.027 3.997
Se -0.488 3.082 9.428
Se 2.183 3.082 6.978
Se 3.574 1.027 3.212
Se 6.245 1.027 0.762
Se 5.916 3.082 6.193

3
Lattice="0.000 3.059 3.059 3.059 0.000 3.059 3.059 3.059 0.000" Properties=species:S:1:pos:R:3 comment="CaTcP (PBE, optimized geometry)" delta_e_f_ev_per_atom=-0.059 m_tot_mub_per_fu=0.41 pbc="T T T"
Ca 0.000 0.000 0.000
Tc 3.059 3.059 3.059
P 1.529 1.529 1.529

4
Lattice="-1.998 2.799 3.305 1.998 -2.799 3.305 1.998 2.799 -3.305" Properties=species:S:1:pos:R:3 comment="CaP2Os (PBE, optimized geometry)" delta_e_f_ev_per_atom=-0.302 m_tot_mub_per_fu=0.00 pbc="T T T"
Ca 0.000 0.000 0.000
P 1.998 0.000 2.083
P 0.000 2.799 1.221
Os 0.000 0.000 3.305